The following is a DFT calculation (GGA-PBE) of a relaxed structure of Sc2Be15Zn2.

Lattice parameters (Å, degrees): 5.8039 5.8039 5.8039 83.04 83.04 83.04
Closest atoms and distances in Å follow each position.
Positions (direct):
1 Sc 0.1553 0.1553 0.1553  1 Zn 2.67, 18 Be 2.73-2.99
2 Sc 0.8447 0.8447 0.8447  1 Zn 2.67, 18 Be 2.73-2.99
3 Be 0.0000 0.5000 0.5000  8 Be 2.20-2.24, 2 Zn 2.32
4 Be 0.1549 0.1549 0.6637  8 Be 2.19-2.37, 1 Zn 2.39
5 Be 0.1549 0.6637 0.1549  8 Be 2.19-2.37, 1 Zn 2.39
6 Be 0.2045 0.5000 0.7955  8 Be 2.20-2.37
7 Be 0.2045 0.7955 0.5000  8 Be 2.20-2.37
8 Be 0.3363 0.8451 0.8451  8 Be 2.19-2.37, 1 Zn 2.39
9 Be 0.5000 0.0000 0.5000  8 Be 2.20-2.24, 2 Zn 2.32
10 Be 0.5000 0.2045 0.7955  8 Be 2.20-2.37
11 Be 0.5000 0.5000 0.0000  8 Be 2.20-2.24, 2 Zn 2.32
12 Be 0.5000 0.7955 0.2045  8 Be 2.20-2.37
13 Be 0.6637 0.1549 0.1549  8 Be 2.19-2.37, 1 Zn 2.39
14 Be 0.7955 0.2045 0.5000  8 Be 2.20-2.37
15 Be 0.7955 0.5000 0.2045  8 Be 2.20-2.37
16 Be 0.8451 0.3363 0.8451  8 Be 2.19-2.37, 1 Zn 2.39
17 Be 0.8451 0.8451 0.3363  8 Be 2.19-2.37, 1 Zn 2.39
18 Zn 0.3933 0.3933 0.3933  12 Be 2.32-2.57, 1 Zn 2.39
19 Zn 0.6067 0.6067 0.6067  12 Be 2.32-2.57, 1 Zn 2.39

Computed properties:
Symmetry: R-3m
Total DFT energy (no corrections): -74.03 eV/cell

The following is a DFT calculation (GGA-PBE) of a relaxed structure of KCd2As.

Lattice parameters (Å, degrees): 3.2887 4.2021 7.8153 90.00 90.00 90.00
Closest atoms and distances in Å follow each position.
Positions (direct):
1 K 0.0000 0.0000 0.0000  2 K 3.29, 4 As 3.50, 1 Cd 3.55
2 Cd 0.0000 0.0000 0.4543  4 As 2.96, 6 Cd 3.16-3.29
3 Cd 0.5000 0.5000 0.6706  1 As 2.97, 6 Cd 3.16-3.29
4 As 0.5000 0.5000 0.2906  5 Cd 2.96-2.97, 2 As 3.29

Computed properties:
Symmetry: Pmm2
Total DFT energy (no corrections): -7.80 eV/cell

The following is a DFT calculation (GGA-PBE) of a relaxed structure of ZnFeMo2.

Lattice parameters (Å, degrees): 2.7407 2.7407 26.5702 90.00 90.00 120.00
Closest atoms and distances in Å follow each position.
Positions (direct):
1 Zn 0.0000 0.0000 0.0000  3 Fe 2.61, 6 Zn 2.74, 3 Mo 2.83
2 Zn 0.3333 0.6667 0.6667  3 Fe 2.61, 6 Zn 2.74, 3 Mo 2.83
3 Zn 0.6667 0.3333 0.3333  3 Fe 2.61, 6 Zn 2.74, 3 Mo 2.83
4 Fe 0.0000 0.0000 0.7447  3 Mo 2.55, 3 Zn 2.61, 6 Fe 2.74
5 Fe 0.3333 0.6667 0.4113  3 Mo 2.55, 3 Zn 2.61, 6 Fe 2.74
6 Fe 0.6667 0.3333 0.0780  3 Mo 2.55, 3 Zn 2.61, 6 Fe 2.74
7 Mo 0.0000 0.0000 0.2449  9 Mo 2.74-2.91, 3 Zn 2.83
8 Mo 0.0000 0.0000 0.4864  3 Fe 2.55, 6 Mo 2.74
9 Mo 0.3333 0.6667 0.1530  3 Fe 2.55, 6 Mo 2.74
10 Mo 0.3333 0.6667 0.9116  9 Mo 2.74-2.91, 3 Zn 2.83
11 Mo 0.6667 0.3333 0.5782  9 Mo 2.74-2.91, 3 Zn 2.83
12 Mo 0.6667 0.3333 0.8197  3 Fe 2.55, 6 Mo 2.74

Computed properties:
Symmetry: R3m
Total DFT energy (no corrections): -90.87 eV/cell

The following is a DFT calculation (GGA-PBE) of a relaxed structure of DyHoHg.

Lattice parameters (Å, degrees): 8.9175 5.1504 8.0214 90.00 111.68 90.00
Closest atoms and distances in Å follow each position.
Positions (direct):
1 Dy 0.0000 0.0000 0.0000  3 Hg 3.05
2 Dy 0.1640 0.0000 0.4924  4 Hg 3.10-3.23
3 Dy 0.5000 0.5000 0.0000  3 Hg 3.05
4 Dy 0.6640 0.5000 0.4924  4 Hg 3.10-3.23
5 Ho 0.0803 0.5000 0.7406  4 Hg 3.11-3.23
6 Ho 0.2440 0.5000 0.2320  3 Hg 3.05
7 Ho 0.5803 0.0000 0.7406  4 Hg 3.11-3.23
8 Ho 0.7440 0.0000 0.2320  3 Hg 3.05
9 Hg 0.3031 0.0000 0.9088  4 Dy 3.05-3.10, 1 Hg 3.09, 3 Ho 3.22-3.23
10 Hg 0.4409 0.0000 0.3232  4 Ho 3.05-3.11, 1 Hg 3.09, 3 Dy 3.23
11 Hg 0.8031 0.5000 0.9088  4 Dy 3.05-3.10, 1 Hg 3.09, 3 Ho 3.22-3.23
12 Hg 0.9409 0.5000 0.3232  4 Ho 3.05-3.11, 1 Hg 3.09, 3 Dy 3.23

Computed properties:
Symmetry: Cm
ΔE to the lowest computed polymorph: 164 meV/atom